(1)
## CdHgMoO4 (GGA+U)

Data for a geometry-optimized CdHgMoO4 structure.

Cell and atoms, written as extended XYZ:
```
14
Lattice="-2.100 -0.869 6.391 0.056 -6.098 2.970 6.303 0.182 3.694" Properties=species:S:1:pos:R:3 pbc="T T T"
O 3.520 -3.450 10.298
Hg 2.658 -6.564 11.708
O 2.503 -2.056 4.720
O 0.240 -3.610 5.668
Hg 1.601 -0.221 1.346
O 4.019 -3.175 7.386
O 1.756 -4.729 8.334
Mo 0.830 -2.517 4.371
O 4.468 -5.748 8.795
O 0.739 -3.335 2.756
Cd 4.545 -1.857 5.703
Mo 3.429 -4.267 8.684
Cd -0.287 -4.928 7.351
O -0.209 -1.037 4.260
```

Energy, eV/atom: -5.217
Magnetic moment, μB/f.u.: 0.00
Symmetry: No. 12

=====

(2)
## CdHgMo2O8 (GGA+U)

Data for a geometry-optimized CdHgMo2O8 structure.

Cell and atoms, written as extended XYZ:
```
12
Lattice="6.203 0.284 0.000 -2.497 5.685 0.000 -1.853 -2.985 5.120" Properties=species:S:1:pos:R:3 pbc="T T T"
Mo 1.853 2.985 0.000
O -0.314 1.443 4.093
O 0.314 -1.443 4.093
O 1.668 -0.257 1.553
Mo 3.102 0.142 2.560
Cd -1.248 2.843 2.560
O 4.535 0.541 1.553
O 0.421 2.626 1.028
O 3.379 -1.320 3.567
O 3.286 3.344 1.028
Hg 0.000 0.000 0.000
O 2.824 1.604 3.567
```

Energy, eV/atom: -5.830
Magnetic moment, μB/f.u.: 0.00
Symmetry: No. 119

=====

(3)
## CdHg2MoO6 (GGA+U)

Data for a geometry-optimized CdHg2MoO6 structure.

Cell and atoms, written as extended XYZ:
```
10
Lattice="5.742 0.000 0.001 2.871 4.973 0.001 2.872 1.658 4.870" Properties=species:S:1:pos:R:3 pbc="T T T"
O 7.982 3.154 1.292
Cd 8.614 4.973 2.789
Hg 5.743 3.316 1.883
Hg 2.873 1.658 3.936
O 6.642 4.597 3.872
O 4.760 5.338 1.292
O 4.185 3.452 3.869
O 4.482 1.456 1.292
O 6.404 1.896 3.873
Mo 2.872 1.657 0.336
```

Energy, eV/atom: -4.724
Magnetic moment, μB/f.u.: 0.00
Symmetry: No. 146

=====

(4)
## Cd2Hg2MoO6 (GGA+U)

Data for a geometry-optimized Cd2Hg2MoO6 structure.

Cell and atoms, written as extended XYZ:
```
11
Lattice="5.780 -0.129 0.600 -2.969 4.961 0.600 -0.442 -0.760 6.617" Properties=species:S:1:pos:R:3 pbc="T T T"
O 0.671 1.153 2.604
O -2.221 3.361 2.652
Hg -1.266 3.970 0.600
Cd -0.255 2.873 3.909
O 1.698 2.919 5.214
O 4.590 0.711 5.166
Mo -0.221 -0.380 3.309
O 4.019 -0.270 2.652
Hg 4.077 0.862 0.600
Cd 2.624 1.198 3.909
O -1.651 4.342 5.166
```

Energy, eV/atom: -4.420
Magnetic moment, μB/f.u.: 0.00
Symmetry: No. 12

=====

Computed calculated density, in the same sequence as the records: 5.65; 5.71; 8.43; 7.05 g/cm³.